A plane-wave DFT calculation with PBE was carried out for a relaxed structure of La3MgSn12.

a = 4.7750 Å, b = 4.7750 Å, c = 19.1720 Å
α = 90.00°, β = 90.00°, γ = 90.00°
Fractional positions:
La: 0.0000 0.0000 0.0000
La: 0.0000 0.0000 0.2496
La: 0.0000 0.0000 0.7504
Mg: 0.0000 0.0000 0.5000
Sn: 0.0000 0.5000 0.1261
Sn: 0.0000 0.5000 0.3827
Sn: 0.0000 0.5000 0.6173
Sn: 0.0000 0.5000 0.8739
Sn: 0.5000 0.0000 0.1261
Sn: 0.5000 0.0000 0.3827
Sn: 0.5000 0.0000 0.6173
Sn: 0.5000 0.0000 0.8739
Sn: 0.5000 0.5000 0.0000
Sn: 0.5000 0.5000 0.2546
Sn: 0.5000 0.5000 0.5000
Sn: 0.5000 0.5000 0.7454

Results
total DFT energy (no corrections): -4.4567 eV/atom
SG: P4/mmm, No. 123
size of the total moment: 0.0 μB/f.u.
theoretical density: 7.09 g/cm³
calculated formation energy: -6.90 eV per formula unit